Na2CuO | PBE | relaxed

Computed properties:
ΔE_f (raw) = -0.609 eV/atom
raw total energy = -3.53 eV/atom

Structure (POSCAR):
```
Na2CuO
1.0
-8.882 3.284 -1.028
-2.773 -8.516 -3.242
-6.224 -3.147 -0.402
Cu O Na
2 2 4
Cartesian
0.000 0.000 0.000 Cu
-10.467 -1.240 -1.783 Cu
-7.413 -7.140 -2.889 O
-5.828 -2.616 -2.135 O
-14.335 -5.305 -3.416 Na
-9.571 -5.956 -2.525 Na
-5.750 -0.429 -0.951 Na
-6.103 -5.069 -2.452 Na
```